DFT (PBE-GGA) results for an optimized crystal structure of CrPRu.

Summary:
Space group   I4mm, No. 107
ρ   8.36 Mg/m³
Final energy   -8.3441 eV/atom
Formation energy   -0.24 eV/atom

abc: 4.9627 4.9626 2.8374
angles: 73.39 73.39 33.22
Last column: nearest neighbours and their distance in Å.
Element x y z (fractional)
Ru 0.6769 0.6769 0.3231  4 P 2.51, 5 Cr 2.68-2.76
P 0.3422 0.3422 0.6578  4 Cr 2.37, 4 Ru 2.51
Cr 0.9808 0.9808 0.0192  4 P 2.37

---

DFT (PBE-GGA) results for an optimized crystal structure of PmYRuPb.

Summary:
Space group   F-43m, No. 216
ρ   9.11 Mg/m³
Final energy   -6.2808 eV/atom
Formation energy   -0.23 eV/atom

abc: 5.1901 5.1901 5.1901
angles: 60.00 60.00 60.00
Last column: nearest neighbours and their distance in Å.
Element x y z (fractional)
Ru 0.7500 0.7500 0.7500  4 Pm 3.18, 4 Y 3.18
Y 0.0000 0.0000 0.0000  4 Ru 3.18, 4 Pb 3.18
Pm 0.5000 0.5000 0.5000  4 Pb 3.18, 4 Ru 3.18
Pb 0.2500 0.2500 0.2500  4 Y 3.18, 4 Pm 3.18

---

DFT (PBE-GGA) results for an optimized crystal structure of NdSm2Au4.

Summary:
Space group   I4/mmm, No. 139
ρ   11.01 Mg/m³
Final energy   -4.5575 eV/atom
Formation energy   -0.66 eV/atom

abc: 5.3092 5.3092 7.5907
angles: 110.47 110.47 90.00
Last column: nearest neighbours and their distance in Å.
Element x y z (fractional)
Nd 0.0000 0.0000 0.0000  8 Au 3.11
Au 0.6229 0.1229 0.2457  4 Sm 2.98-3.33, 2 Nd 3.11, 1 Au 3.24
Au 0.3771 0.8771 0.7543  4 Sm 2.98-3.33, 2 Nd 3.11, 1 Au 3.24
Au 0.8771 0.3771 0.7543  4 Sm 2.98-3.33, 2 Nd 3.11, 1 Au 3.24
Au 0.1229 0.6229 0.2457  4 Sm 2.98-3.33, 2 Nd 3.11, 1 Au 3.24
Sm 0.7247 0.7247 0.4494  8 Au 2.98-3.33
Sm 0.2753 0.2753 0.5506  8 Au 2.98-3.33

---

DFT (PBE-GGA) results for an optimized crystal structure of IrC.

Summary:
Space group   Cm, No. 8
ρ   14.52 Mg/m³
Energy above the lowest structure with this stoichiometry   0.190 eV/atom
Final energy   -8.3953 eV/atom
Formation energy   0.65 eV/atom

abc: 3.9398 2.7496 8.9685
angles: 90.00 105.99 90.00
Last column: nearest neighbours and their distance in Å.
Element x y z (fractional)
C 0.0646 0.5000 0.3002  1 C 1.43
C 0.3061 0.5000 0.2071  1 C 1.43
C 0.3061 0.0000 0.7071  1 C 1.43
C 0.0646 0.0000 0.8002  1 C 1.43
Ir 0.0601 0.0000 0.4738  3 C 2.05-2.08
Ir 0.6492 0.5000 0.6667  4 C 2.03-2.22
Ir 0.6492 0.0000 0.1667  4 C 2.03-2.22
Ir 0.0601 0.5000 0.9738  3 C 2.05-2.08

---

DFT (PBE-GGA) results for an optimized crystal structure of Ce3Sb5Te12.

Summary:
Space group   Ia-3d, No. 230
ρ   5.55 Mg/m³
Final energy   -4.2480 eV/atom
Formation energy without anion corrections   -442 meV per atom

abc: 15.8504 15.8504 15.8504
angles: 109.47 109.47 109.47
Last column: nearest neighbours and their distance in Å.
Element x y z (fractional)
Te 0.0523 0.4140 0.8321  2 Sb 2.95-3.07
Te 0.2202 0.5523 0.6382  2 Sb 2.95-3.07
Te 0.9477 0.3618 0.2798  2 Sb 2.95-3.07
Te 0.3618 0.4140 0.0820  2 Sb 2.95-3.07
Te 0.8618 0.2798 0.4477  2 Sb 2.95-3.07
Te 0.4140 0.0523 0.3321  2 Sb 2.95-3.07
Te 0.6382 0.5860 0.9180  2 Sb 2.95-3.07
Te 0.6679 0.2202 0.5820  2 Sb 2.95-3.07
Te 0.8321 0.9140 0.0523  2 Sb 2.95-3.07
Te 0.5523 0.2202 0.1382  2 Sb 2.95-3.07
Te 0.0860 0.1679 0.4477  2 Sb 2.95-3.07
Te 0.7798 0.3321 0.9180  2 Sb 2.95-3.07
Te 0.2798 0.4180 0.8321  2 Sb 2.95-3.07
Te 0.5820 0.7202 0.6679  2 Sb 2.95-3.07
Te 0.0523 0.6382 0.7202  2 Sb 2.95-3.07
Te 0.9180 0.0860 0.6382  2 Sb 2.95-3.07
Te 0.0820 0.1679 0.2202  2 Sb 2.95-3.07
Te 0.9180 0.8321 0.7798  2 Sb 2.95-3.07
Te 0.1679 0.0820 0.7202  2 Sb 2.95-3.07
Te 0.5860 0.6382 0.4180  2 Sb 2.95-3.07
Te 0.4180 0.2798 0.3321  2 Sb 2.95-3.07
Te 0.8321 0.9180 0.2798  2 Sb 2.95-3.07
Te 0.4180 0.1382 0.5860  2 Sb 2.95-3.07
Te 0.7202 0.5820 0.1679  2 Sb 2.95-3.07
Te 0.3321 0.7798 0.4180  2 Sb 2.95-3.07
Te 0.5820 0.8618 0.4140  2 Sb 2.95-3.07
Te 0.9140 0.0820 0.8618  2 Sb 2.95-3.07
Te 0.9477 0.5860 0.1679  2 Sb 2.95-3.07
Te 0.1679 0.0860 0.9477  2 Sb 2.95-3.07
Te 0.3618 0.9477 0.7798  2 Sb 2.95-3.07
Te 0.3321 0.5523 0.4140  2 Sb 2.95-3.07
Te 0.1382 0.7202 0.5523  2 Sb 2.95-3.07
Te 0.2202 0.6679 0.0820  2 Sb 2.95-3.07
Te 0.6382 0.0523 0.2202  2 Sb 2.95-3.07
Te 0.4140 0.3618 0.5820  2 Sb 2.95-3.07
Te 0.6679 0.4477 0.5860  2 Sb 2.95-3.07
Te 0.9140 0.8321 0.5523  2 Sb 2.95-3.07
Te 0.4477 0.6679 0.0860  2 Sb 2.95-3.07
Te 0.5523 0.3321 0.9140  2 Sb 2.95-3.07
Te 0.0820 0.9140 0.3618  2 Sb 2.95-3.07
Te 0.8618 0.5820 0.9140  2 Sb 2.95-3.07
Te 0.1382 0.4180 0.0860  2 Sb 2.95-3.07
Te 0.2798 0.8618 0.9477  2 Sb 2.95-3.07
Te 0.5860 0.9477 0.6679  2 Sb 2.95-3.07
Te 0.4477 0.7798 0.8618  2 Sb 2.95-3.07
Te 0.7202 0.1382 0.0523  2 Sb 2.95-3.07
Te 0.0860 0.9180 0.1382  2 Sb 2.95-3.07
Te 0.7798 0.4477 0.3618  2 Sb 2.95-3.07
Sb 0.7500 0.6250 0.3750  4 Te 2.95
Sb 0.3750 0.1250 0.7500  4 Te 2.95
Sb 0.1250 0.3750 0.2500  4 Te 2.95
Sb 0.0000 0.5000 0.5000  6 Te 3.07
Sb 0.3750 0.2500 0.1250  4 Te 2.95
Sb 0.0000 0.0000 0.0000  6 Te 3.07
Sb 0.2500 0.3750 0.6250  4 Te 2.95
Sb 0.0000 0.0000 0.5000  6 Te 3.07
Sb 0.1250 0.7500 0.3750  4 Te 2.95
Sb 0.8750 0.6250 0.7500  4 Te 2.95
Sb 0.6250 0.7500 0.8750  4 Te 2.95
Sb 0.5000 0.0000 0.5000  6 Te 3.07
Sb 0.5000 0.5000 0.0000  6 Te 3.07
Sb 0.7500 0.1250 0.8750  4 Te 2.95
Sb 0.0000 0.5000 0.0000  6 Te 3.07
Sb 0.5000 0.5000 0.5000  6 Te 3.07
Sb 0.8750 0.2500 0.6250  4 Te 2.95
Sb 0.2500 0.8750 0.1250  4 Te 2.95
Sb 0.6250 0.8750 0.2500  4 Te 2.95
Sb 0.5000 0.0000 0.0000  6 Te 3.07
Ce 0.1250 0.2500 0.8750  8 Te 3.35-3.40
Ce 0.6250 0.3750 0.7500  8 Te 3.35-3.40
Ce 0.3750 0.6250 0.2500  8 Te 3.35-3.40
Ce 0.8750 0.7500 0.1250  8 Te 3.35-3.40
Ce 0.6250 0.2500 0.3750  8 Te 3.35-3.40
Ce 0.3750 0.7500 0.6250  8 Te 3.35-3.40
Ce 0.7500 0.8750 0.6250  8 Te 3.35-3.40
Ce 0.1250 0.8750 0.7500  8 Te 3.35-3.40
Ce 0.8750 0.1250 0.2500  8 Te 3.35-3.40
Ce 0.2500 0.1250 0.3750  8 Te 3.35-3.40
Ce 0.2500 0.6250 0.8750  8 Te 3.35-3.40
Ce 0.7500 0.3750 0.1250  8 Te 3.35-3.40

---

DFT (PBE-GGA) results for an optimized crystal structure of BeSnGeW2.

Summary:
Space group   P4/mmm, No. 123
ρ   8.45 Mg/m³
Final energy   -5.6383 eV/atom
Formation energy   2.01 eV/atom

abc: 4.6805 5.0934 4.6805
angles: 90.00 90.00 90.00
Last column: nearest neighbours and their distance in Å.
Element x y z (fractional)
Sn 0.0000 0.5000 0.0000  2 Ge 2.55
Ge 0.0000 0.0000 0.0000  4 W 2.34, 2 Sn 2.55
W 0.5000 0.0000 0.0000  2 Ge 2.34
W 0.0000 0.0000 0.5000  2 Ge 2.34
Be 0.5000 0.5000 0.5000  4 Sn 3.31, 8 W 3.46

---

DFT (PBE-GGA) results for an optimized crystal structure of AlSnSbBr2.

Summary:
Space group   P4/mmm, No. 123
ρ   3.91 Mg/m³
Final energy   -2.8611 eV/atom
Formation energy without anion corrections   182 meV per atom

abc: 5.5350 5.9208 5.5350
angles: 90.00 90.00 90.00
Last column: nearest neighbours and their distance in Å.
Element x y z (fractional)
Al 0.5000 0.5000 0.5000  4 Sb 3.91, 8 Br 4.05
Br 0.5000 0.0000 0.0000  2 Sn 2.77
Br 0.0000 0.0000 0.5000  2 Sn 2.77
Sn 0.0000 0.0000 0.0000  4 Br 2.77, 2 Sb 2.96
Sb 0.0000 0.5000 0.0000  2 Sn 2.96

---

DFT (PBE-GGA) results for an optimized crystal structure of SrEuGe.

Summary:
Space group   P3m1, No. 156
ρ   5.10 Mg/m³
Final energy   -5.8538 eV/atom
Formation energy   -0.33 eV/atom

abc: 4.5408 5.0821 5.0821
angles: 120.00 90.00 90.00
Last column: nearest neighbours and their distance in Å.
Element x y z (fractional)
Ge 0.7040 0.6667 0.3333  3 Eu 3.08, 3 Sr 3.27
Eu 0.9089 0.0000 0.0000  3 Ge 3.08
Sr 0.3870 0.3333 0.6667  3 Ge 3.27, 3 Eu 3.65

---

- Number 8 is which compound?
  SrEuGe

---

What did the seventh record say?
DFT (PBE-GGA) results for an optimized crystal structure of AlSnSbBr2.

Summary:
Space group   P4/mmm, No. 123
ρ   3.91 Mg/m³
Final energy   -2.8611 eV/atom
Formation energy without anion corrections   182 meV per atom

abc: 5.5350 5.9208 5.5350
angles: 90.00 90.00 90.00
Last column: nearest neighbours and their distance in Å.
Element x y z (fractional)
Al 0.5000 0.5000 0.5000  4 Sb 3.91, 8 Br 4.05
Br 0.5000 0.0000 0.0000  2 Sn 2.77
Br 0.0000 0.0000 0.5000  2 Sn 2.77
Sn 0.0000 0.0000 0.0000  4 Br 2.77, 2 Sb 2.96
Sb 0.0000 0.5000 0.0000  2 Sn 2.96